[1]
VASP calculation (PBE) on an optimized crystal structure of NbBi2O2.

It has space group P4/mbm (No. 127), with a = 6.0121 Å, b = 6.0121 Å, c = 5.3781 Å, α = 90.00°, β = 90.00° and γ = 90.00°. The asymmetric unit holds Nb at (0.0000, 0.0000, 0.0000), Bi at (0.1960, 0.3040, 0.5000) and O at (0.2418, 0.2582, 0.0000).

As for the crystal system: tetragonal. Its electronic total energy is -6.335 eV per atom. Its energy above the most stable polymorph in this dataset is 0 meV per atom. Its density of states at the Fermi level is 3.14 states/eV/f.u. As for the formation energy without anion corrections: -785 meV/atom.



[2]
VASP calculation (PBE) on an optimized crystal structure of Nb2BiO.

It has space group I-42d (No. 122), with a = 5.2071 Å, b = 5.2071 Å, c = 12.5356 Å, α = 90.00°, β = 90.00° and γ = 90.00°. The asymmetric unit holds Nb at (0.0859, 0.2500, 0.1250), Bi at (0.0000, 0.0000, 0.5000) and O at (0.0000, 0.0000, 0.0000).

As for the crystal system: tetragonal. Its electronic total energy is -7.588 eV per atom. Its energy above the most stable polymorph in this dataset is 0 meV per atom. Its density of states at the Fermi level is 4.32 states/eV/f.u. As for the formation energy without anion corrections: -343 meV/atom.



[3]
VASP calculation (PBE) on an optimized crystal structure of Nb3BiO.

It has space group Pm-3m (No. 221), with a = 4.3698 Å, b = 4.3698 Å, c = 4.3698 Å, α = 90.00°, β = 90.00° and γ = 90.00°. The asymmetric unit holds Nb at (0.0000, 0.0000, 0.5000), Bi at (0.5000, 0.5000, 0.5000) and O at (0.0000, 0.0000, 0.0000).

As for the crystal system: cubic. Its electronic total energy is -8.329 eV per atom. Its energy above the most stable polymorph in this dataset is 0 meV per atom. Its density of states at the Fermi level is 2.22 states/eV/f.u. As for the formation energy without anion corrections: -519 meV/atom.



[4]
VASP calculation (PBE) on an optimized crystal structure of NbBi2O2.

It has space group I4/mmm (No. 139), with a = 5.4832 Å, b = 5.4832 Å, c = 6.9357 Å, α = 90.00°, β = 90.00° and γ = 90.00°. The asymmetric unit holds Nb at (0.0000, 0.0000, 0.0000), Bi at (0.0000, 0.5000, 0.2500) and O at (0.0000, 0.0000, 0.2792).

As for the crystal system: tetragonal. Its electronic total energy is -6.004 eV per atom. Its energy above the most stable polymorph in this dataset is 331 meV per atom. Its density of states at the Fermi level is 2.69 states/eV/f.u. As for the formation energy without anion corrections: -454 meV/atom.



[5]
VASP calculation (PBE) on an optimized crystal structure of NbBiO4.

It has space group Pnna (No. 52), with a = 5.8352 Å, b = 11.8098 Å, c = 5.0987 Å, α = 90.00°, β = 90.00° and γ = 90.00°. The asymmetric unit holds Nb at (0.1505, 0.2500, 0.2500), Bi at (0.2500, 0.0000, 0.7158), O at (0.0772, 0.0990, 0.4143) and O at (0.1474, 0.6927, 0.5040).

As for the crystal system: orthorhombic. Its electronic total energy is -7.685 eV per atom. Its density of states at the Fermi level is 0.00 states/eV/f.u. As for the formation energy without anion corrections: -2054 meV/atom.



[6]
VASP calculation (PBE) on an optimized crystal structure of NbBiO2.

It has space group R-3m (No. 166, hexagonal axes), with a = 3.1863 Å, b = 3.1863 Å, c = 22.4302 Å, α = 90.00°, β = 90.00° and γ = 120.00°. The asymmetric unit holds Nb at (0.0000, 0.0000, 0.0000), Bi at (0.0000, 0.0000, 0.5000) and O at (0.0000, 0.0000, 0.0857).

As for the crystal system: trigonal. Its electronic total energy is -6.832 eV per atom. Its density of states at the Fermi level is 2.22 states/eV/f.u. As for the formation energy without anion corrections: -865 meV/atom.



[7]
VASP calculation (PBE) on an optimized crystal structure of Nb2BiO.

It has space group Fm-3m (No. 225), with a = 6.5380 Å, b = 6.5380 Å, c = 6.5380 Å, α = 90.00°, β = 90.00° and γ = 90.00°. The asymmetric unit holds Nb at (0.2500, 0.2500, 0.2500), Bi at (0.0000, 0.0000, 0.0000) and O at (0.0000, 0.0000, 0.5000).

As for the crystal system: cubic. Its electronic total energy is -7.025 eV per atom. Its energy above the most stable polymorph in this dataset is 563 meV per atom. Its density of states at the Fermi level is 9.22 states/eV/f.u. As for the formation energy without anion corrections: 219 meV/atom.



[8]
VASP calculation (PBE) on an optimized crystal structure of NbBiO4.

It has space group C2 (No. 5), with a = 6.0955 Å, b = 5.8569 Å, c = 5.9707 Å, α = 90.00°, β = 112.98° and γ = 90.00°. The asymmetric unit holds Nb at (0.0000, 0.0000, 0.0000), Bi at (0.0000, 0.6448, 0.5000), O at (0.1454, 0.9225, 0.3503) and O at (0.2441, 0.7026, 0.9507).

As for the crystal system: monoclinic. Its electronic total energy is -7.627 eV per atom. Its density of states at the Fermi level is 0.00 states/eV/f.u. As for the formation energy without anion corrections: -1996 meV/atom.



[9]
VASP calculation (PBE) on an optimized crystal structure of NbBi6O12.

It has space group R-3 (No. 148, hexagonal axes), with a = 10.3273 Å, b = 10.3273 Å, c = 9.5711 Å, α = 90.00°, β = 90.00° and γ = 120.00°. The asymmetric unit holds Nb at (0.0000, 0.0000, 0.0000), Bi at (0.0456, 0.7976, 0.6582), O at (0.0388, 0.8292, 0.3899) and O at (0.0387, 0.8580, 0.8840).

As for the crystal system: trigonal. Its electronic total energy is -6.326 eV per atom. Its density of states at the Fermi level is 12.97 states/eV/f.u. As for the formation energy without anion corrections: -1439 meV/atom.



[10]
VASP calculation (PBE) on an optimized crystal structure of NbBiO2.

It has space group Fd-3m (No. 227, origin choice 2), with a = 8.8139 Å, b = 8.8139 Å, c = 8.8139 Å, α = 90.00°, β = 90.00° and γ = 90.00°. The asymmetric unit holds Nb at (0.1250, 0.1250, 0.1250), Bi at (0.1250, 0.1250, 0.6250) and O at (0.0000, 0.0000, 0.0000).

As for the crystal system: cubic. Its electronic total energy is -7.332 eV per atom. Its density of states at the Fermi level is 3.76 states/eV/f.u. As for the formation energy without anion corrections: -1366 meV/atom.